This record from the Alexandria database describes a geometry-optimized RbAuCl4 structure. The functional is GGA-PBE.

abc: 7.1841 7.1841 7.2984
angles: 113.50 113.50 38.50
Atoms (fractional coordinates):
Rb 0.0000 0.0000 0.0000
Au 0.5000 0.5000 0.5000
Cl 0.3643 0.3643 0.1717
Cl 0.3706 0.3706 0.6293
Cl 0.6294 0.6294 0.3707
Cl 0.6357 0.6357 0.8283

Calculated values
**Space-group type**: C2/m, No. 12
**M_tot**: 0.0 μB/cell

This record from the Alexandria database describes a geometry-optimized RbAu3Cl structure. The functional is GGA-PBE.

abc: 6.0309 6.0309 6.0309
angles: 90.00 90.00 90.00
Atoms (fractional coordinates):
Rb 0.0000 0.0000 0.0000
Au 0.0000 0.0000 0.5000
Au 0.0000 0.5000 0.0000
Au 0.5000 0.0000 0.0000
Cl 0.5000 0.5000 0.5000

Calculated values
**Space-group type**: Pm-3m, No. 221
**ΔE to the lowest computed polymorph**: 77.96 kJ/mol of atoms
**M_tot**: 0.9 μB/cell

This record from the Alexandria database describes a geometry-optimized Rb3AuCl structure. The functional is GGA-PBE.

abc: 6.2814 6.2814 6.2814
angles: 90.00 90.00 90.00
Atoms (fractional coordinates):
Rb 0.0000 0.0000 0.5000
Rb 0.0000 0.5000 0.0000
Rb 0.5000 0.0000 0.0000
Au 0.5000 0.5000 0.5000
Cl 0.0000 0.0000 0.0000

Calculated values
**Space-group type**: Pm-3m, No. 221
**ΔE to the lowest computed polymorph**: 12.71 kJ/mol of atoms
**M_tot**: 0.0 μB/cell

This record from the Alexandria database describes a geometry-optimized Rb8Au3Cl2 structure. The functional is GGA-PBE.

abc: 9.8074 9.8074 8.6869
angles: 106.38 106.38 59.45
Atoms (fractional coordinates):
Rb 0.1148 0.6241 0.2344
Rb 0.1261 0.1261 0.2432
Rb 0.3700 0.3700 0.7602
Rb 0.3759 0.8852 0.7656
Rb 0.6241 0.1148 0.2344
Rb 0.6300 0.6300 0.2398
Rb 0.8739 0.8739 0.7568
Rb 0.8852 0.3759 0.7656
Au 0.0000 0.0000 0.5000
Au 0.2532 0.7468 0.0000
Au 0.7468 0.2532 0.0000
Cl 0.2504 0.2504 0.0033
Cl 0.7496 0.7496 0.9967

Calculated values
**Space-group type**: C2/m, No. 12
**M_tot**: 0.0 μB/cell

This record from the Alexandria database describes a geometry-optimized Rb5Au4Cl structure. The functional is GGA-PBE.

abc: 13.2325 13.2325 13.2325
angles: 158.58 149.21 37.82
Atoms (fractional coordinates):
Rb 0.0000 0.0000 0.0000
Rb 0.2017 0.2017 0.0000
Rb 0.4082 0.4082 0.0000
Rb 0.5918 0.5918 0.0000
Rb 0.7983 0.7983 0.0000
Au 0.0999 0.5999 0.5000
Au 0.3038 0.8038 0.5000
Au 0.6962 0.1962 0.5000
Au 0.9001 0.4001 0.5000
Cl 0.5000 0.0000 0.5000

Calculated values
**Space-group type**: Immm, No. 71
**M_tot**: 0.0 μB/cell

This record from the Alexandria database describes a geometry-optimized Rb12Au5Cl3 structure. The functional is GGA-PBE.

abc: 17.6014 17.6014 17.6014
angles: 109.47 109.47 109.47
Atoms (fractional coordinates):
Rb 0.0542 0.2290 0.1230
Rb 0.0542 0.3252 0.9312
Rb 0.0688 0.6230 0.3940
Rb 0.0688 0.9458 0.6748
Rb 0.1060 0.7290 0.6748
Rb 0.1060 0.8770 0.4312
Rb 0.1230 0.0542 0.2290
Rb 0.1230 0.5688 0.8940
Rb 0.1748 0.2290 0.6060
Rb 0.1748 0.4458 0.5688
Rb 0.2290 0.1230 0.0542
Rb 0.2290 0.6060 0.1748
Rb 0.2710 0.3252 0.8940
Rb 0.2710 0.4458 0.3770
Rb 0.3252 0.8940 0.2710
Rb 0.3252 0.9312 0.0542
Rb 0.3770 0.2710 0.4458
Rb 0.3770 0.6060 0.9312
Rb 0.3940 0.0688 0.6230
Rb 0.3940 0.8252 0.7710
Rb 0.4312 0.1060 0.8770
Rb 0.4312 0.8252 0.5542
Rb 0.4458 0.3770 0.2710
Rb 0.4458 0.5688 0.1748
Rb 0.5542 0.4312 0.8252
Rb 0.5542 0.6230 0.7290
Rb 0.5688 0.1748 0.4458
Rb 0.5688 0.8940 0.1230
Rb 0.6060 0.1748 0.2290
Rb 0.6060 0.9312 0.3770
Rb 0.6230 0.3940 0.0688
Rb 0.6230 0.7290 0.5542
Rb 0.6748 0.0688 0.9458
Rb 0.6748 0.1060 0.7290
Rb 0.7290 0.5542 0.6230
Rb 0.7290 0.6748 0.1060
Rb 0.7710 0.3940 0.8252
Rb 0.7710 0.8770 0.9458
Rb 0.8252 0.5542 0.4312
Rb 0.8252 0.7710 0.3940
Rb 0.8770 0.4312 0.1060
Rb 0.8770 0.9458 0.7710
Rb 0.8940 0.1230 0.5688
Rb 0.8940 0.2710 0.3252
Rb 0.9312 0.0542 0.3252
Rb 0.9312 0.3770 0.6060
Rb 0.9458 0.6748 0.0688
Rb 0.9458 0.7710 0.8770
Au 0.0000 0.0000 0.0000
Au 0.0000 0.0000 0.5000
Au 0.0000 0.5000 0.0000
Au 0.0000 0.5000 0.5000
Au 0.1250 0.7500 0.8750
Au 0.1250 0.8750 0.2500
Au 0.2500 0.1250 0.8750
Au 0.2500 0.6250 0.3750
Au 0.3750 0.2500 0.6250
Au 0.3750 0.6250 0.7500
Au 0.5000 0.0000 0.0000
Au 0.5000 0.0000 0.5000
Au 0.5000 0.5000 0.0000
Au 0.5000 0.5000 0.5000
Au 0.6250 0.3750 0.2500
Au 0.6250 0.7500 0.3750
Au 0.7500 0.3750 0.6250
Au 0.7500 0.8750 0.1250
Au 0.8750 0.1250 0.7500
Au 0.8750 0.2500 0.1250
Cl 0.1250 0.2500 0.3750
Cl 0.1250 0.3750 0.7500
Cl 0.2500 0.3750 0.1250
Cl 0.2500 0.8750 0.6250
Cl 0.3750 0.1250 0.2500
Cl 0.3750 0.7500 0.1250
Cl 0.6250 0.2500 0.8750
Cl 0.6250 0.8750 0.7500
Cl 0.7500 0.1250 0.3750
Cl 0.7500 0.6250 0.8750
Cl 0.8750 0.6250 0.2500
Cl 0.8750 0.7500 0.6250

Calculated values
**Space-group type**: Ia-3d, No. 230
**M_tot**: 0.0 μB/cell

This record from the Alexandria database describes a geometry-optimized Rb2AuCl4 structure. The functional is GGA-PBE.

abc: 9.1050 9.1050 9.1050
angles: 147.34 147.34 46.87
Atoms (fractional coordinates):
Rb 0.1415 0.1415 0.0000
Rb 0.8585 0.8585 0.0000
Au 0.5000 0.5000 0.0000
Cl 0.0000 0.5000 0.5000
Cl 0.3401 0.3401 0.0000
Cl 0.5000 0.0000 0.5000
Cl 0.6599 0.6599 0.0000

Calculated values
**Space-group type**: I4/mmm, No. 139
**M_tot**: 0.0 μB/cell

This record from the Alexandria database describes a geometry-optimized Rb4AuCl structure. The functional is GGA-PBE.

abc: 4.9232 8.4993 8.6929
angles: 99.25 106.35 90.01
Atoms (fractional coordinates):
Rb 0.1141 0.3808 0.2291
Rb 0.3799 0.1353 0.7584
Rb 0.6201 0.8647 0.2416
Rb 0.8859 0.6192 0.7709
Au 0.0000 0.0000 0.0000
Cl 0.5000 0.5000 0.0000

Calculated values
**Space-group type**: P-1, No. 2
**M_tot**: 0.0 μB/cell

This record from the Alexandria database describes a geometry-optimized Rb3AuCl structure. The functional is GGA-PBE.

abc: 4.7375 8.6045 12.3574
angles: 102.77 90.03 105.89
Atoms (fractional coordinates):
Rb 0.1181 0.2362 0.2329
Rb 0.1285 0.2579 0.5850
Rb 0.3677 0.7361 0.1031
Rb 0.6323 0.2639 0.8969
Rb 0.8715 0.7421 0.4150
Rb 0.8819 0.7638 0.7671
Au 0.4804 0.9604 0.6125
Au 0.5196 0.0396 0.3875
Cl 0.2556 0.5118 0.8388
Cl 0.7444 0.4882 0.1612

Calculated values
**Space-group type**: P-1, No. 2
**ΔE to the lowest computed polymorph**: 0.00 kJ/mol of atoms
**M_tot**: 0.0 μB/cell

This record from the Alexandria database describes a geometry-optimized Rb2AuCl4 structure. The functional is GGA-PBE.

abc: 7.9126 6.5083 9.5583
angles: 90.00 105.77 90.00
Atoms (fractional coordinates):
Rb 0.2007 0.2500 0.4366
Rb 0.2473 0.2500 0.9208
Rb 0.7527 0.7500 0.0792
Rb 0.7993 0.7500 0.5634
Au 0.2928 0.7500 0.1526
Au 0.7072 0.2500 0.8474
Cl 0.0789 0.7500 0.9226
Cl 0.0820 0.7500 0.3603
Cl 0.4967 0.0160 0.2636
Cl 0.4967 0.4840 0.2636
Cl 0.5033 0.5160 0.7364
Cl 0.5033 0.9840 0.7364
Cl 0.9180 0.2500 0.6397
Cl 0.9211 0.2500 0.0774

Calculated values
**Space-group type**: P2_1/m, No. 11
**M_tot**: 0.0 μB/cell

This record from the Alexandria database describes a geometry-optimized Rb2AuCl3 structure. The functional is GGA-PBE.

abc: 8.7329 8.7329 8.7329
angles: 149.78 138.51 52.19
Atoms (fractional coordinates):
Rb 0.1395 0.1395 0.0000
Rb 0.8605 0.8605 0.0000
Au 0.5000 0.5000 0.0000
Cl 0.0000 0.5000 0.5000
Cl 0.3495 0.3495 0.0000
Cl 0.6505 0.6505 0.0000

Calculated values
**Space-group type**: Immm, No. 71
**M_tot**: 0.0 μB/cell

This record from the Alexandria database describes a geometry-optimized Rb8AuCl6 structure. The functional is GGA-PBE.

abc: 12.2514 12.2514 4.8294
angles: 90.00 90.00 120.00
Atoms (fractional coordinates):
Rb 0.0373 0.3283 0.2446
Rb 0.2910 0.9627 0.2446
Rb 0.3283 0.2910 0.7554
Rb 0.3333 0.6667 0.7515
Rb 0.6667 0.3333 0.2485
Rb 0.6717 0.7090 0.2446
Rb 0.7090 0.0373 0.7554
Rb 0.9627 0.6717 0.7554
Au 0.0000 0.0000 0.0000
Cl 0.1335 0.6571 0.2541
Cl 0.3429 0.4764 0.2541
Cl 0.4764 0.1335 0.7459
Cl 0.5236 0.8665 0.2541
Cl 0.6571 0.5236 0.7459
Cl 0.8665 0.3429 0.7459

Calculated values
**Space-group type**: P-3, No. 147
**M_tot**: 0.0 μB/cell

| no. | formation energy without anion corrections (meV/atom) |
| --- | --- |
| 1 | -909 |
| 2 | 1201 |
| 3 | -732 |
| 4 | -701 |
| 5 | -593 |
| 6 | -570 |
| 7 | -1210 |
| 8 | -713 |
| 9 | -864 |
| 10 | -1132 |
| 11 | -1296 |
| 12 | -1492 |